An optimized crystal structure of RbScC. Source: the Alexandria database, functional PBE.

Geometry as POSCAR:
```
RbScC
1.0
-8.999 -1.796 5.047
0.591 -6.446 -1.239
3.634 -0.854 6.175
Sc C Rb
4 4 4
Direct
0.500 0.500 0.500 Sc
0.000 0.500 0.000 Sc
0.500 0.000 0.500 Sc
0.000 0.000 0.000 Sc
0.058 0.750 0.853 C
0.558 0.750 0.647 C
0.942 0.250 0.147 C
0.442 0.250 0.353 C
0.146 0.250 0.472 Rb
0.646 0.250 0.028 Rb
0.854 0.750 0.528 Rb
0.354 0.750 0.972 Rb
```

* D(E_F): 0.6328 states/eV/atom
* magnetic moment: 0.00 Bohr magnetons per cell
* ΔE to the lowest computed polymorph: 983 meV/atom

An optimized crystal structure of ScTi2Zn3. Source: the Alexandria database, functional PBE.

Geometry as POSCAR:
```
ScTi2Zn3
1.0
3.225 0.000 0.000
0.000 3.225 0.000
0.000 0.000 9.554
Zn Sc Ti
3 1 2
Direct
0.000 0.000 0.000 Zn
0.000 0.000 0.684 Zn
0.000 0.000 0.316 Zn
0.500 0.500 0.500 Sc
0.500 0.500 0.841 Ti
0.500 0.500 0.159 Ti
```

* D(E_F): 0.9908 states/eV/atom
* magnetic moment: 0.00 Bohr magnetons per cell
* VASP energy: -4.553 eV per atom

An optimized crystal structure of CaBiCl2. Source: the Alexandria database, functional PBE.

Geometry as POSCAR:
```
CaBiCl2
1.0
0.000 3.740 3.740
3.740 0.000 3.740
3.740 3.740 0.000
Cl Bi Ca
2 1 1
Direct
0.250 0.250 0.250 Cl
0.750 0.750 0.750 Cl
0.500 0.500 0.500 Bi
0.000 0.000 0.000 Ca
```

* D(E_F): 1.0276 states/eV/atom
* magnetic moment: 0.00 Bohr magnetons per cell
* ΔE to the lowest computed polymorph: 662 meV/atom

An optimized crystal structure of TaOs3S. Source: the Alexandria database, functional PBE.

Geometry as POSCAR:
```
TaOs3S
1.0
4.341 0.000 0.000
0.000 4.341 0.000
0.000 0.000 4.341
Os S Ta
3 1 1
Direct
0.000 0.000 0.500 Os
0.000 0.500 0.000 Os
0.500 0.000 0.000 Os
0.000 0.000 0.000 S
0.500 0.500 0.500 Ta
```

* D(E_F): 0.8693 states/eV/atom
* magnetic moment: 0.00 Bohr magnetons per cell
* ΔE to the lowest computed polymorph: 0 meV/atom

An optimized crystal structure of Ce12Sn4PbN3. Source: the Alexandria database, functional PBE.

Geometry as POSCAR:
```
Ce12Sn4PbN3
1.0
-0.343 -8.408 2.862
8.280 1.906 -2.609
-2.363 5.473 6.593
Ce N Sn Pb
12 3 4 1
Direct
0.750 0.500 0.250 Ce
0.500 0.750 0.250 Ce
0.000 0.717 0.717 Ce
0.250 0.500 0.750 Ce
0.283 0.000 0.283 Ce
0.717 0.000 0.717 Ce
0.250 0.750 0.500 Ce
0.750 0.250 0.500 Ce
0.717 0.717 0.000 Ce
0.000 0.283 0.283 Ce
0.283 0.283 0.000 Ce
0.500 0.250 0.750 Ce
0.000 0.500 0.500 N
0.500 0.500 0.000 N
0.500 0.000 0.500 N
0.500 0.500 0.500 Sn
0.500 0.000 0.000 Sn
0.000 0.500 0.000 Sn
0.000 0.000 0.500 Sn
0.000 0.000 0.000 Pb
```

* D(E_F): 2.4404 states/eV/atom
* magnetic moment: 10.47 Bohr magnetons per cell
* VASP energy: -6.413 eV per atom

An optimized crystal structure of BeCd4Br. Source: the Alexandria database, functional PBE.

Geometry as POSCAR:
```
BeCd4Br
1.0
-0.672 -0.940 5.763
2.106 3.884 3.876
-3.697 3.346 3.112
Br Be Cd
1 1 4
Direct
0.000 0.000 0.000 Br
0.750 0.750 0.750 Be
0.376 0.376 0.376 Cd
0.872 0.376 0.376 Cd
0.376 0.376 0.872 Cd
0.376 0.872 0.376 Cd
```

* D(E_F): 0.4058 states/eV/atom
* magnetic moment: 0.00 Bohr magnetons per cell
* VASP energy: -1.081 eV per atom

An optimized crystal structure of MnTc2Os. Source: the Alexandria database, functional PBE.

Geometry as POSCAR:
```
MnTc2Os
1.0
4.147 0.000 0.000
0.000 2.709 0.016
0.000 1.336 4.923
Os Tc Mn
1 2 1
Direct
0.500 0.566 0.743 Os
0.000 0.946 0.980 Tc
0.500 0.300 0.277 Tc
0.000 0.688 0.500 Mn
```

* D(E_F): 0.9707 states/eV/atom
* magnetic moment: 0.01 Bohr magnetons per cell
* ΔE to the lowest computed polymorph: 15 meV/atom

An optimized crystal structure of BiTeIO2. Source: the Alexandria database, functional PBE.

Geometry as POSCAR:
```
BiTeIO2
1.0
4.293 0.000 0.000
0.000 4.293 0.000
0.000 0.000 6.688
I O Te Bi
1 2 1 1
Direct
0.000 0.000 0.500 I
0.500 0.000 0.000 O
0.000 0.500 0.000 O
0.000 0.000 0.000 Te
0.500 0.500 0.500 Bi
```

* D(E_F): 0.3674 states/eV/atom
* magnetic moment: 0.95 Bohr magnetons per cell
* ΔE to the lowest computed polymorph: 81 meV/atom

An optimized crystal structure of KInHg2Br8. Source: the Alexandria database, functional PBE.

Geometry as POSCAR:
```
KInHg2Br8
1.0
6.888 -0.447 0.228
-0.479 7.598 1.314
0.156 1.850 9.189
In Hg K Br
1 2 1 8
Direct
0.000 0.000 0.000 In
0.464 0.267 0.707 Hg
0.536 0.733 0.293 Hg
0.000 0.000 0.500 K
0.573 0.709 0.572 Br
0.700 0.705 0.049 Br
0.427 0.291 0.428 Br
0.855 0.220 0.731 Br
0.145 0.780 0.269 Br
0.787 0.131 0.166 Br
0.213 0.869 0.834 Br
0.300 0.295 0.951 Br
```

* D(E_F): 0.0000 states/eV/atom
* magnetic moment: 0.00 Bohr magnetons per cell
* VASP energy: -2.262 eV per atom

An optimized crystal structure of V2GaNiPt5. Source: the Alexandria database, functional PBE.

Geometry as POSCAR:
```
V2GaNiPt5
1.0
-0.936 4.928 -4.191
-5.360 1.780 3.291
6.728 0.507 4.191
V Pt Ga Ni
4 10 2 2
Direct
0.889 0.611 0.000 V
0.111 0.389 0.000 V
0.611 0.111 0.000 V
0.389 0.889 0.000 V
0.572 0.648 0.720 Pt
0.072 0.572 0.720 Pt
0.852 0.928 0.280 Pt
0.148 0.072 0.720 Pt
0.648 0.148 0.720 Pt
0.428 0.352 0.280 Pt
0.352 0.852 0.280 Pt
0.000 0.000 0.000 Pt
0.500 0.500 0.000 Pt
0.928 0.428 0.280 Pt
0.750 0.750 0.500 Ga
0.250 0.250 0.500 Ga
0.750 0.250 0.500 Ni
0.250 0.750 0.500 Ni
```

* D(E_F): 1.2206 states/eV/atom
* magnetic moment: 0.00 Bohr magnetons per cell
* VASP energy: -6.438 eV per atom

An optimized crystal structure of ErZrRu2. Source: the Alexandria database, functional PBE.

Geometry as POSCAR:
```
ErZrRu2
1.0
3.312 0.000 0.000
0.000 3.312 0.000
0.000 0.000 6.690
Er Ru Zr
1 2 1
Direct
0.500 0.500 0.500 Er
0.000 0.000 0.236 Ru
0.000 0.000 0.764 Ru
0.500 0.500 0.000 Zr
```

* D(E_F): 0.5281 states/eV/atom
* magnetic moment: 0.00 Bohr magnetons per cell
* VASP energy: -8.475 eV per atom

An optimized crystal structure of Li2Mg5Pb12. Source: the Alexandria database, functional PBE.

Geometry as POSCAR:
```
Li2Mg5Pb12
1.0
7.224 0.000 0.000
-3.612 7.806 1.709
0.000 -0.982 9.797
Pb Mg Li
12 5 2
Direct
0.588 0.622 0.357 Pb
0.072 0.670 0.856 Pb
0.598 0.670 0.856 Pb
0.966 0.378 0.643 Pb
0.034 0.622 0.357 Pb
0.928 0.330 0.144 Pb
0.515 0.031 0.728 Pb
0.485 0.969 0.272 Pb
0.412 0.378 0.643 Pb
0.985 0.970 0.203 Pb
0.402 0.330 0.144 Pb
0.015 0.030 0.797 Pb
0.366 0.733 0.574 Mg
0.634 0.267 0.426 Mg
0.000 0.000 0.500 Mg
0.331 0.662 0.104 Mg
0.669 0.338 0.896 Mg
0.703 0.000 0.000 Li
0.297 0.000 0.000 Li
```

* D(E_F): 0.4062 states/eV/atom
* magnetic moment: 0.00 Bohr magnetons per cell
* VASP energy: -2.931 eV per atom